Computed, not measured: a geometry-optimized GePS2Br structure at the PBE level of DFT.

* formation energy from raw total energies: 0.74 eV per atom
* electronic total energy: -3.2497 eV per atom
* crystal system: tetragonal
* spin magnetization: 0.0 μB/cell

```
GePS2Br
1.0
-4.0953 -1.9291 -0.7061
1.9562 -4.1429 -0.0265
-0.7215 -0.3740 5.2062
S Ge P Br
2 1 1 1
Cartesian
-2.0476 -0.9646 -0.3530
0.9781 -2.0715 -0.0133
0.0000 0.0000 0.0000
-0.3607 -0.1870 2.6031
-1.4303 -3.2230 2.2368
```